[1]
This record from Alexandria describes a relaxed structure of ReMoRu2. The functional is PBEsol.

```
ReMoRu2
1.0
2.7143 0.0000 0.0000
0.0000 3.8244 0.0000
0.0000 0.0000 5.4429
Re Mo Ru
1 1 2
Cartesian
0.0000 0.0000 0.0000
0.0000 0.0000 2.7215
1.3572 1.9122 1.3367
1.3572 1.9122 4.1062
```

Properties
ΔE to the lowest computed polymorph: 5 meV per atom
ΔE_f: 3.1 kJ/mol of atoms
ρ: 14.233 Mg/m³

[2]
This record from Alexandria describes a relaxed structure of ReMoRu2. The functional is PBEsol.

```
ReMoRu2
1.0
-1.9229 1.9229 3.8179
1.9229 -1.9229 3.8179
1.9229 1.9229 -3.8179
Re Mo Ru
1 1 2
Cartesian
0.0000 0.0000 0.0000
0.0000 0.0000 3.8179
1.9229 0.0000 1.9090
0.0000 1.9229 1.9090
```

Properties
ΔE to the lowest computed polymorph: 3 meV per atom
ΔE_f: 3.0 kJ/mol of atoms
ρ: 14.242 Mg/m³

Please write out number 1 again, unchanged.
This record from Alexandria describes a relaxed structure of ReMoRu2. The functional is PBEsol.

```
ReMoRu2
1.0
2.7143 0.0000 0.0000
0.0000 3.8244 0.0000
0.0000 0.0000 5.4429
Re Mo Ru
1 1 2
Cartesian
0.0000 0.0000 0.0000
0.0000 0.0000 2.7215
1.3572 1.9122 1.3367
1.3572 1.9122 4.1062
```

Properties
ΔE to the lowest computed polymorph: 5 meV per atom
ΔE_f: 3.1 kJ/mol of atoms
ρ: 14.233 Mg/m³